Record 1
ErLuZn2Sn2: relaxed, PBE.

```
ErLuZn2Sn2
1.0
-3.760 -1.930 -1.479
2.015 -1.555 3.683
-8.438 9.748 8.731
Sn Zn Er Lu
4 4 2 2
direct
0.333 0.667 0.112
0.667 0.333 0.612
0.333 0.667 0.388
0.667 0.333 0.888
0.667 0.333 0.339
0.667 0.333 0.161
0.333 0.667 0.839
0.333 0.667 0.661
0.000 0.000 0.750
0.000 0.000 0.250
0.000 0.000 0.000
0.000 0.000 0.500
```

Calculated values
Uncorrected energy (eV for the cell shown): -45.47
M_tot (μB/f.u.): 0.00
Space group: P6_3/mmc
Distance to the lowest polymorph of the same formula (eV/atom): 0.005
ρ (g/cm3): 8.7

Record 2
SrErLu: relaxed, PBE.

```
SrErLu
1.0
2.853 -2.884 3.964
-1.360 0.601 5.474
-2.522 -4.253 2.779
Sr Er Lu
1 1 1
direct
0.000 0.000 0.000
0.500 0.500 0.500
0.250 0.250 0.250
```

Calculated values
Uncorrected energy (eV for the cell shown): -8.32
M_tot (μB/f.u.): 0.03
Space group: F-43m
Distance to the lowest polymorph of the same formula (eV/atom): 0.000
ρ (g/cm3): 5.5

Record 3
ErLuTa: relaxed, PBE.

```
ErLuTa
1.0
2.270 -4.391 0.315
-1.106 -3.100 3.702
-2.520 -4.163 -0.925
Lu Ta Er
1 1 1
direct
0.250 0.250 0.250
0.750 0.750 0.750
0.000 0.000 0.000
```

Calculated values
Uncorrected energy (eV for the cell shown): -17.06
M_tot (μB/f.u.): 1.18
Space group: F-43m
ρ (g/cm3): 10.1
Formation energy (eV per atom): 1.29

Record 4
ErLuTlTe3: relaxed, PBE.

```
ErLuTlTe3
1.0
2.191 -7.652 0.000
2.191 7.652 0.000
0.000 0.000 11.890
Te Lu Tl Er
6 2 2 2
direct
0.066 0.934 0.250
0.641 0.359 0.530
0.359 0.641 0.470
0.934 0.066 0.750
0.641 0.359 0.970
0.359 0.641 0.030
0.561 0.439 0.750
0.439 0.561 0.250
0.245 0.755 0.750
0.755 0.245 0.250
0.000 0.000 0.000
0.000 0.000 0.500
```

Calculated values
Uncorrected energy (eV for the cell shown): -53.02
M_tot (μB/f.u.): 0.19
Space group: Cmcm
Distance to the lowest polymorph of the same formula (eV/atom): 0.000
ρ (g/cm3): 7.7

Record 5
ErLuTlTe3: relaxed, PBE.

```
ErLuTlTe3
1.0
-3.318 3.311 6.406
-0.869 -2.669 -7.425
-2.671 -10.778 4.187
Te Er Tl Lu
6 2 2 2
direct
0.567 0.433 0.750
0.140 0.860 0.025
0.860 0.140 0.975
0.140 0.860 0.475
0.433 0.567 0.250
0.860 0.140 0.525
0.935 0.065 0.750
0.065 0.935 0.250
0.745 0.255 0.250
0.255 0.745 0.750
0.500 0.500 0.500
0.500 0.500 0.000
```

Calculated values
Uncorrected energy (eV for the cell shown): -52.86
M_tot (μB/f.u.): 0.30
Space group: Cmcm
Distance to the lowest polymorph of the same formula (eV/atom): 0.014
ρ (g/cm3): 7.8

Record 6
Er3Tm3Lu2Te: relaxed, PBE.

```
Er3Tm3Lu2Te
1.0
9.091 0.000 0.000
-4.546 7.873 0.000
0.000 0.000 3.721
Tm Er Lu Te
3 3 2 1
direct
0.386 0.386 0.000
0.614 0.000 0.000
0.000 0.614 0.000
0.000 0.277 0.500
0.723 0.723 0.500
0.277 0.000 0.500
0.333 0.667 0.500
0.667 0.333 0.500
0.000 0.000 0.000
```

Calculated values
Uncorrected energy (eV for the cell shown): -41.83
M_tot (μB/f.u.): 0.01
Space group: P-62m
ρ (g/cm3): 9.3